Entry 1:
BaNa3Sb: optimized geometry, PBE.

Results
Its distance to the lowest polymorph of the same formula is 0.0 meV/atom. For the uncorrected energy, the calculation gives -2.1193 eV per atom. The value obtained for the formation energy (no corrections) is -11.5 kJ/mol of atoms.

Cell and atoms, written as CIF:
```
data_BaNa3Sb
_chemical_formula_sum 'Ba1 Na3 Sb1'
_cell_length_a 6.009
_cell_length_b 6.009
_cell_length_c 6.009
_cell_angle_alpha 90.00
_cell_angle_beta 90.00
_cell_angle_gamma 90.00
_symmetry_space_group_name_H-M 'P m -3 m'
_symmetry_Int_Tables_number 221
_symmetry_space_group_name_Hall '-P 4 2 3'
loop_
_atom_site_label
_atom_site_type_symbol
_atom_site_fract_x
_atom_site_fract_y
_atom_site_fract_z
_atom_site_occupancy
Ba1 Ba 0.000 0.000 0.000 1
Na1 Na 0.000 0.500 0.500 1
Sb1 Sb 0.500 0.500 0.500 1
```

=====

Entry 2:
KGaPb: optimized geometry, PBE.

Results
For the uncorrected energy, the calculation gives -2.6837 eV per atom. The calculation puts the energy relative to the elements at -0.073 eV/atom.

Cell and atoms, written as CIF:
```
data_KGaPb
_chemical_formula_sum 'K4 Ga4 Pb4'
_cell_length_a 14.625
_cell_length_b 3.505
_cell_length_c 8.258
_cell_angle_alpha 90.00
_cell_angle_beta 112.86
_cell_angle_gamma 90.00
_symmetry_space_group_name_H-M 'C 1 2/m 1'
_symmetry_Int_Tables_number 12
_symmetry_space_group_name_Hall '-C 2y'
loop_
_atom_site_label
_atom_site_type_symbol
_atom_site_fract_x
_atom_site_fract_y
_atom_site_fract_z
_atom_site_occupancy
K1 K 0.044 0.000 0.265 1
Ga1 Ga 0.171 0.500 0.030 1
Pb1 Pb 0.186 0.500 0.689 1
```

=====

Entry 3:
Br2Cl: optimized geometry, PBE.

Results
Its distance to the lowest polymorph of the same formula is 385.0 meV/atom. For the uncorrected energy, the calculation gives -1.3010 eV per atom. The value obtained for the formation energy (no corrections) is 41.5 kJ/mol of atoms.

Cell and atoms, written as CIF:
```
data_Br2Cl
_chemical_formula_sum 'Br8 Cl4'
_cell_length_a 4.649
_cell_length_b 4.649
_cell_length_c 19.762
_cell_angle_alpha 90.00
_cell_angle_beta 90.00
_cell_angle_gamma 90.00
_symmetry_space_group_name_H-M 'I 41/a m d'
_symmetry_Int_Tables_number 141
loop_
_symmetry_equiv_pos_as_xyz
'x,y,z'
'-x,-y,-z'
'-y+1/4,x+3/4,z+1/4'
'y+1/4,-x+3/4,-z+1/4'
'-x+1/2,-y,z+1/2'
'x+1/2,y,-z+1/2'
'y+1/4,-x+1/4,z+3/4'
'-y+1/4,x+1/4,-z+3/4'
'x,-y,-z'
'-x,y,z'
'-y+1/4,-x+1/4,-z+3/4'
'y+1/4,x+1/4,z+3/4'
'-x+1/2,y,-z+1/2'
'x+1/2,-y,z+1/2'
'y+1/4,x+3/4,-z+1/4'
'-y+1/4,-x+3/4,z+1/4'
'x+1/2,y+1/2,z+1/2'
'-x+1/2,-y+1/2,-z+1/2'
'-y+3/4,x+1/4,z+3/4'
'y+3/4,-x+1/4,-z+3/4'
'-x,-y+1/2,z'
'x,y+1/2,-z'
'y+3/4,-x+3/4,z+1/4'
'-y+3/4,x+3/4,-z+1/4'
'x+1/2,-y+1/2,-z+1/2'
'-x+1/2,y+1/2,z+1/2'
'-y+3/4,-x+3/4,-z+1/4'
'y+3/4,x+3/4,z+1/4'
'-x,y+1/2,-z'
'x,-y+1/2,z'
'y+3/4,x+1/4,-z+3/4'
'-y+3/4,-x+1/4,z+3/4'
loop_
_atom_site_label
_atom_site_type_symbol
_atom_site_fract_x
_atom_site_fract_y
_atom_site_fract_z
_atom_site_occupancy
Br1 Br 0.000 0.250 0.273 1
Cl1 Cl 0.000 0.250 0.875 1
```